Record 1
This record from Alexandria via LeMat-Bulk describes crystalline Ag5W at its relaxed geometry. The functional is GGA-PBE.

The magnetization is 3.3 Bohr magnetons per cell. Its density is 10.2 g/cm³. The offset from the most stable computed form comes out at 0.482 eV/atom. Its formation energy is 0.91 eV/atom. As for the space group: P6/mmm (191). The calculation puts the uncorrected energy at -3.623 eV per atom.

Structure (POSCAR):
```
Ag5W
1.0
-1.971 4.902 0.727
-3.064 -4.268 0.913
1.472 -0.083 4.552
Ag W
5 1
Direct
0.000 0.500 0.500 Ag
0.333 0.667 0.000 Ag
0.500 0.000 0.500 Ag
0.500 0.500 0.500 Ag
0.667 0.333 0.000 Ag
0.000 0.000 0.000 W
```

=====

Record 2
This record from Alexandria via LeMat-Bulk describes crystalline Tb8TcSn2 at its relaxed geometry. The functional is GGA-PBE.

The magnetization is 0.0 Bohr magnetons per cell. Its density is 8.7 g/cm³. Its formation energy is -0.31 eV/atom. As for the space group: C2/m (12). The calculation puts the uncorrected energy at -5.347 eV per atom.

Structure (POSCAR):
```
Tb8TcSn2
1.0
-3.266 -3.872 2.225
1.173 -4.136 -5.476
7.303 0.857 5.334
Tb Tc Sn
8 1 2
Direct
0.374 0.611 0.748 Tb
0.627 0.865 0.253 Tb
0.808 0.807 0.616 Tb
0.000 0.245 0.000 Tb
0.192 0.193 0.384 Tb
0.373 0.135 0.747 Tb
0.626 0.389 0.252 Tb
0.000 0.755 0.000 Tb
0.500 0.000 0.000 Tc
0.813 0.314 0.627 Sn
0.187 0.686 0.373 Sn
```

=====

Please write out number 1 again, unchanged.
This record from Alexandria via LeMat-Bulk describes crystalline Ag5W at its relaxed geometry. The functional is GGA-PBE.

The magnetization is 3.3 Bohr magnetons per cell. Its density is 10.2 g/cm³. The offset from the most stable computed form comes out at 0.482 eV/atom. Its formation energy is 0.91 eV/atom. As for the space group: P6/mmm (191). The calculation puts the uncorrected energy at -3.623 eV per atom.

Structure (POSCAR):
```
Ag5W
1.0
-1.971 4.902 0.727
-3.064 -4.268 0.913
1.472 -0.083 4.552
Ag W
5 1
Direct
0.000 0.500 0.500 Ag
0.333 0.667 0.000 Ag
0.500 0.000 0.500 Ag
0.500 0.500 0.500 Ag
0.667 0.333 0.000 Ag
0.000 0.000 0.000 W
```

=====

- Look up the uncorrected energy of the second one.
  -5.347 eV per atom

=====

- Which formula does entry 1 have?
  Ag5W

=====

- uncorrected energy of number 2 (Tb8TcSn2)?
  -5.347 eV per atom